1.
Here is a relaxed CeSn2Rh7 crystal from Alexandria via LeMat-Bulk. Energies are from GGA-PBE.

Cell: 4.4854 7.5511 7.5511 Å, 124.09 90.00 90.00°
Closest atoms and distances in Å follow each position.
Sites, in units of the cell vectors:
Ce 0.0000 0.0000 0.0000  2 Rh 2.50
Sn 0.5000 0.7062 0.2938  7 Rh 2.60-2.85
Sn 0.5000 0.2938 0.7062  7 Rh 2.60-2.85
Rh 0.0000 0.8126 0.1874  1 Ce 2.50, 2 Sn 2.65
Rh 0.0000 0.1874 0.8126  1 Ce 2.50, 2 Sn 2.65
Rh 0.5000 0.0822 0.2907  2 Sn 2.60-2.85, 5 Rh 2.62-2.83
Rh 0.5000 0.9178 0.7093  2 Sn 2.60-2.85, 5 Rh 2.62-2.83
Rh 0.5000 0.2907 0.0822  2 Sn 2.60-2.85, 5 Rh 2.62-2.83
Rh 0.5000 0.7093 0.9178  2 Sn 2.60-2.85, 5 Rh 2.62-2.83
Rh 0.5000 0.5000 0.5000  4 Rh 2.62, 2 Sn 2.75

---

2.
Here is a relaxed Ce2Sn3Rh4 crystal from Alexandria via LeMat-Bulk. Energies are from GGA-PBE.

Cell: 6.0986 7.1124 8.9497 Å, 90.00 109.92 90.00°
Closest atoms and distances in Å follow each position.
Sites, in units of the cell vectors:
Ce 0.1029 0.5775 0.2059  3 Rh 2.82-2.95
Ce 0.8971 0.4225 0.7941  3 Rh 2.82-2.95
Ce 0.3971 0.0775 0.7941  3 Rh 2.82-2.95
Ce 0.6029 0.9225 0.2059  3 Rh 2.82-2.95
Sn 0.0000 0.0000 0.0000  6 Rh 2.67-2.78
Sn 0.5000 0.5000 0.0000  6 Rh 2.67-2.78
Sn 0.5135 0.7500 0.5270  5 Rh 2.70-2.81
Sn 0.9865 0.2500 0.4730  5 Rh 2.70-2.81
Sn 0.4865 0.2500 0.4730  5 Rh 2.70-2.81
Sn 0.0135 0.7500 0.5270  5 Rh 2.70-2.81
Rh 0.6739 0.7500 0.8478  3 Sn 2.67-2.70, 2 Ce 2.82, 2 Rh 2.94
Rh 0.8261 0.2500 0.1522  3 Sn 2.67-2.70, 2 Ce 2.82, 2 Rh 2.94
Rh 0.3261 0.2500 0.1522  3 Sn 2.67-2.70, 2 Ce 2.82, 2 Rh 2.94
Rh 0.1739 0.7500 0.8478  3 Sn 2.67-2.70, 2 Ce 2.82, 2 Rh 2.94
Rh 0.1647 0.9655 0.3294  5 Sn 2.73-2.81, 2 Rh 2.94, 1 Ce 2.95
Rh 0.8353 0.0345 0.6706  5 Sn 2.73-2.81, 2 Rh 2.94, 1 Ce 2.95
Rh 0.3353 0.4655 0.6706  5 Sn 2.73-2.81, 2 Rh 2.94, 1 Ce 2.95
Rh 0.6647 0.5345 0.3294  5 Sn 2.73-2.81, 2 Rh 2.94, 1 Ce 2.95

---

3.
Here is a relaxed CeSnRh3 crystal from Alexandria via LeMat-Bulk. Energies are from GGA-PBE.

Cell: 7.9055 6.3028 7.9965 Å, 90.00 90.00 90.00°
Closest atoms and distances in Å follow each position.
Sites, in units of the cell vectors:
Ce 0.4152 0.5292 0.7500  1 Rh 2.45
Ce 0.0848 0.0292 0.2500  1 Rh 2.45
Ce 0.5848 0.4708 0.2500  1 Rh 2.45
Ce 0.9152 0.9708 0.7500  1 Rh 2.45
Sn 0.0000 0.5000 0.0000  6 Rh 2.63-2.80
Sn 0.5000 0.0000 0.5000  6 Rh 2.63-2.80
Sn 0.5000 0.0000 0.0000  6 Rh 2.63-2.80
Sn 0.0000 0.5000 0.5000  6 Rh 2.63-2.80
Rh 0.7962 0.1832 0.0736  2 Sn 2.63-2.68, 3 Rh 2.74-2.82, 2 Ce 2.84-2.85
Rh 0.7038 0.6832 0.5736  2 Sn 2.63-2.68, 3 Rh 2.74-2.82, 2 Ce 2.84-2.85
Rh 0.7038 0.6832 0.9264  2 Sn 2.63-2.68, 3 Rh 2.74-2.82, 2 Ce 2.84-2.85
Rh 0.2038 0.8168 0.5736  2 Sn 2.63-2.68, 3 Rh 2.74-2.82, 2 Ce 2.84-2.85
Rh 0.2038 0.8168 0.9264  2 Sn 2.63-2.68, 3 Rh 2.74-2.82, 2 Ce 2.84-2.85
Rh 0.2962 0.3168 0.4264  2 Sn 2.63-2.68, 3 Rh 2.74-2.82, 2 Ce 2.84-2.85
Rh 0.2962 0.3168 0.0736  2 Sn 2.63-2.68, 3 Rh 2.74-2.82, 2 Ce 2.84-2.85
Rh 0.7962 0.1832 0.4264  2 Sn 2.63-2.68, 3 Rh 2.74-2.82, 2 Ce 2.84-2.85
Rh 0.2942 0.1717 0.7500  1 Ce 2.45, 2 Rh 2.74
Rh 0.2058 0.6717 0.2500  1 Ce 2.45, 2 Rh 2.74
Rh 0.7058 0.8283 0.2500  1 Ce 2.45, 2 Rh 2.74
Rh 0.7942 0.3283 0.7500  1 Ce 2.45, 2 Rh 2.74

---

4.
Here is a relaxed CeSnRh crystal from Alexandria via LeMat-Bulk. Energies are from GGA-PBE.

Cell: 7.4826 7.4826 4.0739 Å, 90.00 90.00 120.00°
Closest atoms and distances in Å follow each position.
Sites, in units of the cell vectors:
Ce 0.0000 0.4138 0.0000  5 Rh 3.04-3.10, 6 Sn 3.22-3.38
Ce 0.5862 0.5862 0.0000  5 Rh 3.04-3.10, 6 Sn 3.22-3.38
Ce 0.4138 0.0000 0.0000  5 Rh 3.04-3.10, 6 Sn 3.22-3.38
Sn 0.2528 0.2528 0.5000  4 Rh 2.78-2.84
Sn 0.0000 0.7472 0.5000  4 Rh 2.78-2.84
Sn 0.7472 0.0000 0.5000  4 Rh 2.78-2.84
Rh 0.6667 0.3333 0.5000  3 Sn 2.84, 6 Ce 3.04
Rh 0.3333 0.6667 0.5000  3 Sn 2.84, 6 Ce 3.04
Rh 0.0000 0.0000 0.0000  6 Sn 2.78, 3 Ce 3.10

---

5.
Here is a relaxed Ce2Sn2Rh7 crystal from Alexandria via LeMat-Bulk. Energies are from GGA-PBE.

Cell: 5.6160 7.2310 5.6160 Å, 79.36 104.35 100.64°
Closest atoms and distances in Å follow each position.
Sites, in units of the cell vectors:
Ce 0.7617 0.1309 0.2383  5 Rh 2.51-2.75
Ce 0.2383 0.8691 0.7617  5 Rh 2.51-2.75
Sn 0.7366 0.5000 0.7366  6 Rh 2.66-2.71
Sn 0.2634 0.5000 0.2634  6 Rh 2.66-2.71
Rh 0.0117 0.2915 0.6015  1 Ce 2.52, 2 Rh 2.66-2.78, 2 Sn 2.66-2.71
Rh 0.6015 0.7085 0.0117  1 Ce 2.52, 2 Rh 2.66-2.78, 2 Sn 2.66-2.71
Rh 0.9883 0.7085 0.3985  1 Ce 2.52, 2 Rh 2.66-2.78, 2 Sn 2.66-2.71
Rh 0.3985 0.2915 0.9883  1 Ce 2.52, 2 Rh 2.66-2.78, 2 Sn 2.66-2.71
Rh 0.0000 0.0000 0.0000  2 Ce 2.51, 4 Rh 2.78
Rh 0.5298 0.8032 0.4702  2 Sn 2.69, 2 Ce 2.74-2.75, 5 Rh 2.92-3.01
Rh 0.4702 0.1968 0.5298  2 Sn 2.69, 2 Ce 2.74-2.75, 5 Rh 2.92-3.01

---

6.
Here is a relaxed Ce2Sn5Rh3 crystal from Alexandria via LeMat-Bulk. Energies are from GGA-PBE.

Cell: 4.5290 7.2395 13.5203 Å, 90.00 99.64 90.00°
Closest atoms and distances in Å follow each position.
Sites, in units of the cell vectors:
Ce 0.4749 0.7598 0.9498  1 Rh 2.73
Ce 0.1703 0.7266 0.3405  8 Sn 3.21-3.55, 2 Rh 3.31
Ce 0.8297 0.2266 0.6595  8 Sn 3.21-3.55, 2 Rh 3.31
Ce 0.5251 0.2598 0.0502  1 Rh 2.73
Sn 0.4037 0.3828 0.8074  3 Rh 2.68-2.77
Sn 0.2898 0.5086 0.5795  3 Rh 2.75
Sn 0.7102 0.0086 0.4205  3 Rh 2.75
Sn 0.1219 0.2555 0.2438  4 Rh 2.71-2.92
Sn 0.2944 0.9343 0.5889  4 Rh 2.75-2.81
Sn 0.9518 0.0963 0.9035  4 Rh 2.75-2.80
Sn 0.7056 0.4343 0.4111  4 Rh 2.75-2.81
Sn 0.8781 0.7555 0.7562  4 Rh 2.71-2.92
Sn 0.0482 0.5963 0.0965  4 Rh 2.75-2.80
Sn 0.5963 0.8828 0.1926  3 Rh 2.68-2.77
Rh 0.7771 0.7195 0.5541  7 Sn 2.71-2.81
Rh 0.6039 0.5006 0.2078  1 Ce 2.73, 6 Sn 2.75-2.92
Rh 0.0499 0.9808 0.0998  5 Sn 2.68-2.78
Rh 0.2229 0.2195 0.4459  7 Sn 2.71-2.81
Rh 0.9501 0.4808 0.9002  5 Sn 2.68-2.78
Rh 0.3961 0.0006 0.7922  1 Ce 2.73, 6 Sn 2.75-2.92

---

7.
Here is a relaxed Ce3Sn6Rh5 crystal from Alexandria via LeMat-Bulk. Energies are from GGA-PBE.

Cell: 4.4714 9.7528 13.6608 Å, 90.00 90.00 90.00°
Closest atoms and distances in Å follow each position.
Sites, in units of the cell vectors:
Ce 0.0000 0.2479 0.7045  4 Rh 3.12-3.28, 8 Sn 3.14-3.49
Ce 0.5000 0.7521 0.2045  4 Rh 3.12-3.28, 8 Sn 3.14-3.49
Ce 0.5000 0.7521 0.7955  4 Rh 3.12-3.28, 8 Sn 3.14-3.49
Ce 0.0000 0.2712 0.0000  6 Rh 3.06-3.36
Ce 0.5000 0.7288 0.5000  6 Rh 3.06-3.36
Ce 0.0000 0.2479 0.2955  4 Rh 3.12-3.28, 8 Sn 3.14-3.49
Sn 0.0000 0.9792 0.8438  4 Rh 2.71-2.79
Sn 0.5000 0.0208 0.6562  4 Rh 2.71-2.79
Sn 0.5000 0.4091 0.8218  4 Rh 2.67-2.90
Sn 0.5000 0.6058 0.0000  6 Rh 2.79-2.91, 2 Sn 3.10
Sn 0.0000 0.3942 0.5000  6 Rh 2.79-2.91, 2 Sn 3.10
Sn 0.0000 0.5909 0.6782  4 Rh 2.67-2.90
Sn 0.0000 0.5909 0.3218  4 Rh 2.67-2.90
Sn 0.5000 0.9671 0.0000  4 Rh 2.71-2.79
Sn 0.0000 0.9792 0.1562  4 Rh 2.71-2.79
Sn 0.5000 0.4091 0.1782  4 Rh 2.67-2.90
Sn 0.0000 0.0329 0.5000  4 Rh 2.71-2.79
Sn 0.5000 0.0208 0.3438  4 Rh 2.71-2.79
Rh 0.0000 0.5418 0.8872  5 Sn 2.73-2.90, 1 Rh 2.92, 1 Ce 3.06
Rh 0.0000 0.8635 0.6569  5 Sn 2.67-2.79
Rh 0.0000 0.7964 0.0000  6 Sn 2.78-2.91, 2 Rh 2.92
Rh 0.5000 0.4582 0.6128  5 Sn 2.73-2.90, 1 Rh 2.92, 1 Ce 3.06
Rh 0.5000 0.2036 0.5000  6 Sn 2.78-2.91, 2 Rh 2.92
Rh 0.0000 0.5418 0.1128  5 Sn 2.73-2.90, 1 Rh 2.92, 1 Ce 3.06
Rh 0.5000 0.4582 0.3872  5 Sn 2.73-2.90, 1 Rh 2.92, 1 Ce 3.06
Rh 0.0000 0.8635 0.3431  5 Sn 2.67-2.79
Rh 0.5000 0.1365 0.8431  5 Sn 2.67-2.79
Rh 0.5000 0.1365 0.1569  5 Sn 2.67-2.79

---

8.
Here is a relaxed CeSnRh crystal from Alexandria via LeMat-Bulk. Energies are from GGA-PBE.

Cell: 3.5995 4.6595 4.6595 Å, 120.00 90.00 90.00°
Closest atoms and distances in Å follow each position.
Sites, in units of the cell vectors:
Rh 0.1663 0.3333 0.6667  3 Sn 2.69
Sn 0.1669 0.0000 0.0000  3 Rh 2.69
Ce 0.6668 0.6667 0.3333  6 Rh 3.24, 6 Sn 3.24, 2 Ce 3.60

---

| no. | DFT formation energy (eV/atom) |
| --- | --- |
| 1 | 0.09 |
| 2 | -0.75 |
| 3 | -0.50 |
| 4 | -0.89 |
| 5 | -0.33 |
| 6 | -0.72 |
| 7 | -0.68 |
| 8 | -0.73 |